{"formula": "ScBe2Cr", "functional": "PBE", "state": "relaxed", "formation_enthalpy_0k_ev_per_fu": 0.5, "crystal_system": "orthorhombic", "rho_g_cm3": 3.6, "space_group": "Amm2, No. 38", "lattice_angstrom": [[3.5627, 0.0000, 0.0000], [0.0000, 1.5202, 4.9045], [0.0000, -1.5202, 4.9045]], "species": ["Sc", "Be", "Be", "Cr"], "frac_coords": [[0.0000, 0.0000, 0.0000], [0.0000, 0.7336, 0.7336], [0.5000, 0.6196, 0.6196], [0.5000, 0.3094, 0.3094]]}

{"formula": "SbPC", "functional": "PBE", "state": "relaxed", "crystal_system": "monoclinic", "rho_g_cm3": 4.2, "e_form_raw_ev_per_fu": 1.3, "space_group": "C2/m, No. 12", "lattice_angstrom": [[8.7604, -1.9063, 0.0000], [8.7604, 1.9063, 0.0000], [-0.5492, 0.0000, 3.8885]], "species": ["Sb", "Sb", "P", "P", "C", "C"], "frac_coords": [[0.2127, 0.2127, 0.2208], [0.7873, 0.7873, 0.7792], [0.4559, 0.4559, 0.7584], [0.5441, 0.5441, 0.2416], [0.1774, 0.8226, 0.5000], [0.8226, 0.1774, 0.5000]]}

Number 1: calculated total energy -5.715 eV/atom, DOS at the Fermi energy 0.5609 states/eV per atom, offset from the most stable computed form 93.7 meV per atom. Number 2: calculated total energy -5.829 eV/atom, DOS at the Fermi energy 0.2873 states/eV per atom, offset from the most stable computed form 54.3 meV per atom.